A plane-wave DFT calculation with GGA-PBE was carried out for TbTaNO after structural relaxation.

POSCAR file:
```
TbTaNO
1.0
6.2839 0.0000 0.0000
0.0000 7.5444 0.0000
0.0000 0.0000 5.1099
N O Ta Tb
4 4 4 4
direct
0.4274 0.1472 0.0221 N
0.9274 0.8528 0.0221 N
0.0726 0.1472 0.5221 N
0.5726 0.8528 0.5221 N
0.9373 0.4463 0.1418 O
0.4373 0.5537 0.1418 O
0.5627 0.4463 0.6418 O
0.0627 0.5537 0.6418 O
0.6279 0.3413 0.0202 Ta
0.1279 0.6587 0.0202 Ta
0.8721 0.3413 0.5202 Ta
0.3721 0.6587 0.5202 Ta
0.0621 0.1390 0.0182 Tb
0.5621 0.8610 0.0182 Tb
0.4379 0.1390 0.5182 Tb
0.9379 0.8610 0.5182 Tb
```

Values from the calculation:
Magnetization (μB/f.u.): 0.0
Symmetry: No. 29
Raw total energy (eV/atom): -8.990



A plane-wave DFT calculation with GGA-PBE was carried out for TbTaNO after structural relaxation.

POSCAR file:
```
TbTaNO
1.0
-3.5395 -1.8298 -1.9384
2.2199 -3.8071 -0.4596
-1.9078 -1.7302 5.1170
N O Ta Tb
2 2 2 2
direct
0.7500 0.7500 0.3702 N
0.2500 0.2500 0.6298 N
0.7500 0.2500 0.0000 O
0.2500 0.7500 0.0000 O
0.7500 0.7500 0.0301 Ta
0.2500 0.2500 0.9699 Ta
0.7500 0.2500 0.5000 Tb
0.2500 0.7500 0.5000 Tb
```

Values from the calculation:
Magnetization (μB/f.u.): 0.0
Symmetry: No. 129
Raw total energy (eV/atom): -8.679



A plane-wave DFT calculation with GGA-PBE was carried out for TaTeNO after structural relaxation.

POSCAR file:
```
TaTeNO
1.0
6.4889 0.0000 0.0000
0.0000 7.7209 0.0000
0.0000 0.0000 6.0242
N O Ta Te
4 4 4 4
direct
0.3693 0.0546 0.1742 N
0.8693 0.9454 0.1742 N
0.1307 0.0546 0.6742 N
0.6307 0.9454 0.6742 N
0.0219 0.2875 0.0466 O
0.5219 0.7125 0.0466 O
0.4781 0.2875 0.5466 O
0.9781 0.7125 0.5466 O
0.1086 0.0522 0.0060 Ta
0.6086 0.9477 0.0060 Ta
0.3914 0.0522 0.5060 Ta
0.8914 0.9477 0.5060 Ta
0.7871 0.3308 0.4755 Te
0.2871 0.6692 0.4755 Te
0.7129 0.3308 0.9755 Te
0.2129 0.6692 0.9755 Te
```

Values from the calculation:
Magnetization (μB/f.u.): 0.0
Symmetry: No. 29
Raw total energy (eV/atom): -7.956



A plane-wave DFT calculation with GGA-PBE was carried out for TaTeNO after structural relaxation.

POSCAR file:
```
TaTeNO
1.0
3.2762 0.0000 0.0000
0.0000 6.7506 0.0000
0.0000 0.0000 7.0073
N O Ta Te
2 2 2 2
direct
0.0000 0.5853 0.2157 N
0.0000 0.4147 0.7157 N
0.5000 0.2510 0.0392 O
0.5000 0.7490 0.5392 O
0.0000 0.6025 0.4944 Ta
0.0000 0.3975 0.9944 Ta
0.5000 0.2316 0.4967 Te
0.5000 0.7684 0.9967 Te
```

Values from the calculation:
Magnetization (μB/f.u.): 0.0
Symmetry: No. 26
Raw total energy (eV/atom): -7.914